Computed, not measured: a geometry-optimized Sr2CeRe2N6 structure at the GGA-PBE level of DFT.

As for the crystal system: monoclinic. For the energy relative to the elements, uncorrected, the calculation gives -0.734 eV per atom.

The structure belongs to space group C2/m (No. 12); the cell edges are 10.662, 6.095 and 7.071 Å and the angles 90.00°, 123.77° and 90.00°. The inequivalent atoms are Sr at (0.212, 0.000, 0.174), Ce at (0.000, 0.000, 0.500), Re at (0.032, 0.500, 0.200), N at (0.065, 0.255, 0.787) and N at (0.235, 0.500, 0.387).